1.
Computed, not measured: a relaxed structure of Ce6Hg2C at the PBE-GGA level of DFT.

Cell lengths 6.509, 6.783, 9.825 Å; angles 90.00, 94.62, 90.00 degrees
Element x y z (fractional)
Hg 0.043 0.500 0.271
Hg 0.457 0.000 0.229
Hg 0.957 0.500 0.729
Ce 0.210 0.254 0.984
Hg 0.543 0.000 0.771
Ce 0.790 0.253 0.017
Ce 0.290 0.754 0.516
Ce 0.710 0.246 0.484
Ce 0.537 0.500 0.252
Ce 0.710 0.753 0.483
Ce 0.790 0.746 0.016
C 0.500 0.500 0.000
Ce 0.037 0.000 0.752
Ce 0.290 0.247 0.517
Ce 0.463 0.500 0.748
C 0.000 0.000 0.500
Ce 0.963 0.000 0.248
Ce 0.210 0.747 0.983

Properties
VASP energy	-5.224	eV/atom
DFT formation energy	-0.18	eV per atom

=====

2.
Computed, not measured: a relaxed structure of Ba3Ca2Mg3 at the PBE-GGA level of DFT.

Cell lengths 4.197, 6.314, 13.154 Å; angles 103.89, 99.18, 90.00 degrees
Element x y z (fractional)
Mg 0.125 0.125 0.250
Ca 0.733 0.233 0.467
Ca 0.267 0.767 0.533
Ba 0.622 0.622 0.245
Ba 0.378 0.378 0.755
Mg 0.875 0.875 0.750
Ba 0.500 0.000 0.000
Mg 0.000 0.500 0.000

Properties
VASP energy	-1.851	eV/atom
DFT formation energy	-0.03	eV per atom

=====

3.
Computed, not measured: a relaxed structure of RbBeCl2 at the PBE-GGA level of DFT.

Cell lengths 6.883, 6.883, 6.883 Å; angles 48.05, 48.05, 48.05 degrees
Last column: magnetic moment on the atom in μB.
Element x y z (fractional)
Cl 0.104 0.104 0.104  0.03
Rb 0.500 0.500 0.500  0.01
Cl 0.896 0.896 0.896  0.03
Be 0.000 0.000 0.000  0.06

Properties
VASP energy	-2.931	eV/atom
formation energy without anion corrections	-0.8347	eV per atom

=====

How do the records compare in calculated density? In the order shown, they have 9.631; 2.811; 1.661 g/cm³.